# BAs2PtSe | the Alexandria database | PBE | relaxed
data_BAs2PtSe
_cell_length_a 5.091
_cell_length_b 5.091
_cell_length_c 4.642
_cell_angle_alpha 90.00
_cell_angle_beta 90.00
_cell_angle_gamma 90.00
_space_group_name_H-M_alt 'P 4/m m m'
_space_group_IT_number 123
_space_group_name_Hall '-P 4 2'
loop_
_atom_site_label
_atom_site_type_symbol
_atom_site_fract_x
_atom_site_fract_y
_atom_site_fract_z
B1 B 0.000 0.000 0.000
As1 As 0.000 0.500 0.500
Pt1 Pt 0.500 0.500 0.000
Se1 Se 0.500 0.500 0.500
# E_form (uncorrected): 1.69 eV/atom
# final energy: -3.41 eV per atom
# excess energy over the best structure of this formula in the dataset: 4.747 eV/f.u.
# total moment: 0.00 μB per formula unit